Entry 1:
Here is NaUTl2O8 after structural relaxation from Alexandria. Energies are from PBE.

DOS at the Fermi energy ... 0.64 states/eV/cell
Symmetry ... P-1
Raw formation energy ... -1.39 eV per atom
Volume ... 189 Å³/f.u.

Unit cell a=5.3276 b=4.8241 c=7.4244 alpha=94.05 beta=88.37 gamma=84.18
With the nearest neighbours (Å) after each atom.
Atoms (fractional coordinates):
O  0.8152  0.2499  0.2316  1 Tl 2.06, 1 U 2.18
O  0.2863  0.2400  0.0011  1 U 2.01
O  0.8358  0.2144  0.7834  1 Tl 2.07, 1 U 2.13
O  0.1848  0.7501  0.7684  1 Tl 2.06, 1 U 2.18
O  0.7137  0.7600  0.9989  1 U 2.01
O  0.5781  0.8836  0.4910  1 O 1.32
O  0.4219  0.1164  0.5090  1 O 1.32
O  0.1642  0.7856  0.2166  1 Tl 2.07, 1 U 2.13
Tl  0.4985  0.4660  0.7759  2 O 2.06-2.07
Tl  0.5015  0.5340  0.2241  2 O 2.06-2.07
U  0.0000  0.0000  0.0000  6 O 2.01-2.18
Na  0.0000  0.0000  0.5000  6 O 2.37-2.57

Entry 2:
Here is Na2UTlO6 after structural relaxation from Alexandria. Energies are from PBE.

DOS at the Fermi energy ... 7.29 states/eV/cell
Symmetry ... R3
Raw formation energy ... -1.88 eV per atom
Volume ... 145 Å³/f.u.

Unit cell a=5.8394 b=5.8394 c=5.9496 alpha=60.61 beta=60.61 gamma=60.00
With the nearest neighbours (Å) after each atom.
Atoms (fractional coordinates):
O  0.9868  0.5652  0.2720  1 U 2.05, 1 Tl 2.28
O  0.5653  0.1760  0.2719  1 U 2.05, 1 Tl 2.28
O  0.0932  0.4594  0.7942  1 U 2.06, 1 Tl 2.24
O  0.4593  0.6533  0.7941  1 U 2.06, 1 Tl 2.24
O  0.1760  0.9867  0.2719  1 U 2.05, 1 Tl 2.28
O  0.6533  0.0933  0.7941  1 U 2.06, 1 Tl 2.24
U  0.3188  0.3188  0.0435  6 O 2.05-2.06
Tl  0.8164  0.8164  0.5507  6 O 2.24-2.28
Na  0.0455  0.0456  0.8633  3 O 2.38
Na  0.5469  0.5469  0.3594  3 O 2.41

Entry 3:
Here is Na2UTl3O6 after structural relaxation from Alexandria. Energies are from PBE.

DOS at the Fermi energy ... 4.77 states/eV/cell
Symmetry ... C2/m
Raw formation energy ... -1.70 eV per atom
Volume ... 206 Å³/f.u.

Unit cell a=6.1755 b=6.1755 c=6.4774 alpha=98.49 beta=98.49 gamma=119.41
With the nearest neighbours (Å) after each atom.
Atoms (fractional coordinates):
O  0.3448  0.0719  0.1650  1 U 2.03
O  0.8150  0.8150  0.2517  1 U 2.26, 2 Tl 2.47
O  0.0719  0.3448  0.1650  1 U 2.03
O  0.6552  0.9281  0.8350  1 U 2.03
O  0.9281  0.6552  0.8350  1 U 2.03
O  0.1850  0.1850  0.7483  1 U 2.26, 2 Tl 2.47
U  0.0000  0.0000  0.0000  6 O 2.03-2.26
Tl  0.8300  0.1700  0.5000  2 O 2.47
Tl  0.5000  0.5000  0.5000  6 O 2.80-2.88
Tl  0.1700  0.8300  0.5000  2 O 2.47
Na  0.3276  0.6724  0.0000  4 O 2.39-2.48
Na  0.6724  0.3276  0.0000  4 O 2.39-2.48

Please write out number 2 again, unchanged.
Here is Na2UTlO6 after structural relaxation from Alexandria. Energies are from PBE.

DOS at the Fermi energy ... 7.29 states/eV/cell
Symmetry ... R3
Raw formation energy ... -1.88 eV per atom
Volume ... 145 Å³/f.u.

Unit cell a=5.8394 b=5.8394 c=5.9496 alpha=60.61 beta=60.61 gamma=60.00
With the nearest neighbours (Å) after each atom.
Atoms (fractional coordinates):
O  0.9868  0.5652  0.2720  1 U 2.05, 1 Tl 2.28
O  0.5653  0.1760  0.2719  1 U 2.05, 1 Tl 2.28
O  0.0932  0.4594  0.7942  1 U 2.06, 1 Tl 2.24
O  0.4593  0.6533  0.7941  1 U 2.06, 1 Tl 2.24
O  0.1760  0.9867  0.2719  1 U 2.05, 1 Tl 2.28
O  0.6533  0.0933  0.7941  1 U 2.06, 1 Tl 2.24
U  0.3188  0.3188  0.0435  6 O 2.05-2.06
Tl  0.8164  0.8164  0.5507  6 O 2.24-2.28
Na  0.0455  0.0456  0.8633  3 O 2.38
Na  0.5469  0.5469  0.3594  3 O 2.41

What is the formula in the first record?
NaUTl2O8

The highest DOS at the Fermi energy belongs to which entry?
Na2UTlO6